First-principles (PBE-GGA) data for a relaxed structure of LiTlPbO4, as listed in Alexandria via LeMat-Bulk.

a b c (Å): 6.6677 6.6677 6.6677
angles (deg): 120.36 120.06 89.63
Positions (direct):
Li 0.3632 0.1132 0.2500
Li 0.6368 0.8868 0.7500
Tl 0.0000 0.5000 0.5000
Tl 0.5000 0.5000 0.0000
Pb 0.0000 0.0000 0.5000
Pb 0.0000 0.5000 0.0000
O 0.2248 0.7474 0.4775
O 0.2301 0.2526 0.9775
O 0.2340 0.2461 0.5121
O 0.2340 0.7219 0.9879
O 0.7660 0.2781 0.0121
O 0.7660 0.7539 0.4879
O 0.7699 0.7474 0.0225
O 0.7752 0.2526 0.5225

Computed properties:
SG = Imma
Formation energy without anion corrections = -100.3 kJ per mole of atoms

=====

First-principles (PBE-GGA) data for a relaxed structure of Ta2Be2Co5W, as listed in Alexandria via LeMat-Bulk.

a b c (Å): 8.4435 8.4435 3.2985
angles (deg): 90.00 90.00 90.00
Positions (direct):
Ta 0.1765 0.3235 0.0000
Ta 0.3235 0.8235 0.0000
Ta 0.6765 0.1765 0.0000
Ta 0.8235 0.6765 0.0000
Be 0.1169 0.6169 0.0000
Be 0.3831 0.1169 0.0000
Be 0.6169 0.8831 0.0000
Be 0.8831 0.3831 0.0000
Co 0.0000 0.5000 0.5000
Co 0.0687 0.7872 0.5000
Co 0.2128 0.0687 0.5000
Co 0.2872 0.5687 0.5000
Co 0.4313 0.2872 0.5000
Co 0.5000 0.0000 0.5000
Co 0.5687 0.7128 0.5000
Co 0.7128 0.4313 0.5000
Co 0.7872 0.9313 0.5000
Co 0.9313 0.2128 0.5000
W 0.0000 0.0000 0.0000
W 0.5000 0.5000 0.0000

Computed properties:
DOS at the Fermi energy = 9.048 states/eV/f.u.
SG = P4/mbm
Calculated formation energy = -237 meV per atom

=====

First-principles (PBE-GGA) data for a relaxed structure of K2Mn, as listed in Alexandria via LeMat-Bulk.

a b c (Å): 6.3665 6.3665 3.5730
angles (deg): 90.00 90.00 120.00
Positions (direct):
K 0.3333 0.6667 0.0000
K 0.6667 0.3333 0.0000
Mn 0.0000 0.0000 0.5000

Computed properties:
DOS at the Fermi energy = 3.208 states/eV/f.u.
Energy above the most stable polymorph in this dataset = 175 meV/atom
SG = P6/mmm
Calculated formation energy = 840 meV per atom

=====

First-principles (PBE-GGA) data for a relaxed structure of PrZn6Co, as listed in Alexandria via LeMat-Bulk.

a b c (Å): 5.4324 5.4324 5.4324
angles (deg): 73.13 73.13 73.13
Positions (direct):
Pr 0.0000 0.0000 0.0000
Zn 0.0298 0.6362 0.6362
Zn 0.3638 0.3638 0.9702
Zn 0.3638 0.9702 0.3638
Zn 0.6362 0.0298 0.6362
Zn 0.6362 0.6362 0.0298
Zn 0.9702 0.3638 0.3638
Co 0.5000 0.5000 0.5000

Computed properties:
DOS at the Fermi energy = 2.810 states/eV/f.u.
SG = R-3m
Calculated formation energy = -50 meV per atom

=====

First-principles (PBE-GGA) data for a relaxed structure of Tc2TeCl, as listed in Alexandria via LeMat-Bulk.

a b c (Å): 3.0246 3.7360 7.6091
angles (deg): 90.00 90.00 90.00
Positions (direct):
Tc 0.0000 0.0000 0.0000
Tc 0.5000 0.5000 0.1476
Te 0.0000 0.0000 0.3515
Cl 0.5000 0.5000 0.7952

Computed properties:
DOS at the Fermi energy = 2.742 states/eV/f.u.
Energy above the most stable polymorph in this dataset = 256 meV/atom
SG = Pmm2
Formation energy without anion corrections = 21.7 kJ per mole of atoms

=====

First-principles (PBE-GGA) data for a relaxed structure of CeYHgBi, as listed in Alexandria via LeMat-Bulk.

a b c (Å): 7.6909 7.6909 7.6909
angles (deg): 90.00 90.00 90.00
Positions (direct):
Ce 0.0000 0.0000 0.0000
Ce 0.0000 0.5000 0.5000
Ce 0.5000 0.0000 0.5000
Ce 0.5000 0.5000 0.0000
Y 0.0000 0.0000 0.5000
Y 0.0000 0.5000 0.0000
Y 0.5000 0.0000 0.0000
Y 0.5000 0.5000 0.5000
Hg 0.2500 0.2500 0.2500
Hg 0.2500 0.7500 0.7500
Hg 0.7500 0.2500 0.7500
Hg 0.7500 0.7500 0.2500
Bi 0.2500 0.2500 0.7500
Bi 0.2500 0.7500 0.2500
Bi 0.7500 0.2500 0.2500
Bi 0.7500 0.7500 0.7500

Computed properties:
DOS at the Fermi energy = 10.199 states/eV/f.u.
SG = F-43m
Calculated formation energy = -486 meV per atom

=====

First-principles (PBE-GGA) data for a relaxed structure of UPa2Tc, as listed in Alexandria via LeMat-Bulk.

a b c (Å): 3.6038 3.6038 24.9889
angles (deg): 90.00 90.00 120.00
Positions (direct):
U 0.0000 0.0000 0.0000
U 0.3333 0.6667 0.6667
U 0.6667 0.3333 0.3333
Pa 0.0000 0.0000 0.4008
Pa 0.0000 0.0000 0.5992
Pa 0.3333 0.6667 0.0674
Pa 0.3333 0.6667 0.2659
Pa 0.6667 0.3333 0.7341
Pa 0.6667 0.3333 0.9326
Tc 0.0000 0.0000 0.5000
Tc 0.3333 0.6667 0.1667
Tc 0.6667 0.3333 0.8333

Computed properties:
DOS at the Fermi energy = 7.696 states/eV/f.u.
Energy above the most stable polymorph in this dataset = 864 meV/atom
SG = R-3m
Calculated formation energy = 831 meV per atom

=====

First-principles (PBE-GGA) data for a relaxed structure of ScZnSi2, as listed in Alexandria via LeMat-Bulk.

a b c (Å): 3.5057 3.5057 5.3885
angles (deg): 90.00 90.00 90.00
Positions (direct):
Sc 0.0000 0.0000 0.0000
Zn 0.5000 0.5000 0.7128
Si 0.0000 0.0000 0.4879
Si 0.5000 0.5000 0.2474

Computed properties:
DOS at the Fermi energy = 2.220 states/eV/f.u.
SG = P4mm
Formation energy without anion corrections = -12.0 kJ per mole of atoms

=====

| no. | total magnetization (μB/f.u.) |
| --- | --- |
| 1 | 0.000 |
| 2 | 0.000 |
| 3 | 4.363 |
| 4 | 0.000 |
| 5 | 0.000 |
| 6 | 1.650 |
| 7 | 0.000 |
| 8 | 0.000 |